# SCAN AlHg2Pt, single point on PBEsol structure
data_AlHg2Pt
_space_group_name_H-M_alt 'R 3 m'
_space_group_IT_number 160
_space_group_name_Hall 'R 3 -2"'
_cell_length_a 3.1263
_cell_length_b 3.1263
_cell_length_c 26.2297
_cell_angle_alpha 90.00
_cell_angle_beta 90.00
_cell_angle_gamma 120.00
loop_
_atom_site_label
_atom_site_fract_x
_atom_site_fract_y
_atom_site_fract_z
Al1 0.0000 0.0000 0.0000
Hg1 0.0000 0.0000 0.2477
Hg2 0.0000 0.0000 0.4846
Pt1 0.0000 0.0000 0.7311
# DFT total energy   -645.4 eV for the cell shown
# Energy relative to the elements   -0.9 eV/f.u.

# SCAN TaTl2Se, single point on PBEsol structure
data_TaTl2Se
_space_group_name_H-M_alt 'C m m m'
_space_group_IT_number 65
_space_group_name_Hall '-C 2 2'
_cell_length_a 3.586
_cell_length_b 5.270
_cell_length_c 9.133
_cell_angle_alpha 90.00
_cell_angle_beta 90.00
_cell_angle_gamma 90.00
loop_
_atom_site_label
_atom_site_fract_x
_atom_site_fract_y
_atom_site_fract_z
Ta1 0.000 0.000 0.000
Tl1 0.000 0.500 0.251
Se1 0.000 0.000 0.500
# Formation energy from raw total energies   625 meV per atom
# DFT total energy   -457.8 eV for the cell shown

# SCAN SrCuP2O7, single point on PBEsol structure
data_SrCuP2O7
_space_group_name_H-M_alt 'P 1 21/c 1'
_space_group_IT_number 14
_space_group_name_Hall '-P 2ybc'
_cell_length_a 5.415
_cell_length_b 8.080
_cell_length_c 13.444
_cell_angle_alpha 90.00
_cell_angle_beta 112.86
_cell_angle_gamma 90.00
loop_
_atom_site_label
_atom_site_fract_x
_atom_site_fract_y
_atom_site_fract_z
Sr1 0.006 0.153 0.218
Cu1 0.325 0.644 0.614
P1 0.331 0.192 0.010
P2 0.404 0.037 0.659
O1 0.118 0.172 0.898
O2 0.173 0.059 0.695
O3 0.274 0.095 0.099
O4 0.316 0.115 0.541
O5 0.337 0.626 0.767
O6 0.377 0.661 0.478
O7 0.483 0.642 0.151
# Formation energy from raw total energies   -2511 meV per atom
# DFT total energy   -518.0 eV for the cell shown

# SCAN ScCd2In, single point on PBEsol structure
data_ScCd2In
_space_group_name_H-M_alt 'I 4/m m m'
_space_group_IT_number 139
_space_group_name_Hall '-I 4 2'
_cell_length_a 4.370
_cell_length_b 4.370
_cell_length_c 8.873
_cell_angle_alpha 90.00
_cell_angle_beta 90.00
_cell_angle_gamma 90.00
loop_
_atom_site_label
_atom_site_fract_x
_atom_site_fract_y
_atom_site_fract_z
Sc1 0.000 0.000 0.000
Cd1 0.000 0.500 0.250
In1 0.000 0.000 0.500
# DFT total energy   -219.0 eV for the cell shown
# Energy relative to the elements   -1.0 eV/f.u.

- What is the DFT total energy in the second record?
  -457.8 eV for the cell shown